A | Here is CsTlRe3 after structural relaxation from the Alexandria database. Energies are from GGA-PBE.

Output
ρ ... 10.868 g/cm3
Fermi-level density of states ... 2.085 states/eV/atom
V ... 27.4 Å³ per atom

Cell: 5.154 5.154 5.154 Å, 90.00 90.00 90.00°
Last column: magnetic moment on the atom in μB.
Atoms (fractional coordinates):
1 Cs 0.500 0.500 0.500  0.08
2 Re 0.000 0.500 0.000  1.80
3 Re 0.000 0.000 0.500  1.78
4 Re 0.500 0.000 0.000  1.45
5 Tl 0.000 0.000 0.000  0.01

=====

B | Here is CsTlRe3 after structural relaxation from the Alexandria database. Energies are from GGA-PBE.

Output
ρ ... 11.686 g/cm3
Fermi-level density of states ... 1.060 states/eV/atom
V ... 25.5 Å³ per atom

Cell: 5.031 5.031 5.031 Å, 90.00 90.00 90.00°
Last column: magnetic moment on the atom in μB.
Atoms (fractional coordinates):
1 Cs 0.000 0.000 0.000  0.06
2 Re 0.000 0.500 0.000  1.34
3 Re 0.000 0.000 0.500  1.47
4 Re 0.500 0.000 0.000  1.51
5 Tl 0.500 0.500 0.500  0.07

=====

Energies in meV per atom, measured from the most stable structure: A 0; B 675.

=====

A | Here is CsTl2ZnRe after structural relaxation from the Alexandria database. Energies are from GGA-PBE.

Output
ρ ... 7.455 g/cm3
Fermi-level density of states ... 1.040 states/eV/atom
V ... 35.3 Å³ per atom

Cell: 5.391 5.391 6.079 Å, 90.00 90.00 90.00°
Atoms (fractional coordinates):
1 Cs 0.000 0.000 0.500
2 Re 0.000 0.000 0.000
3 Tl 0.000 0.500 0.000
4 Tl 0.500 0.000 0.000
5 Zn 0.500 0.500 0.500

=====

B | Here is CsTl2ZnRe after structural relaxation from the Alexandria database. Energies are from GGA-PBE.

Output
ρ ... 8.229 g/cm3
Fermi-level density of states ... 0.747 states/eV/atom
V ... 32.0 Å³ per atom

Cell: 5.563 5.563 5.173 Å, 90.00 90.00 90.00°
Last column: magnetic moment on the atom in μB.
Atoms (fractional coordinates):
1 Cs 0.500 0.500 0.500  -0.01
2 Re 0.000 0.000 0.500  2.67
3 Tl 0.000 0.500 0.000  -0.04
4 Tl 0.500 0.000 0.000  -0.04
5 Zn 0.000 0.000 0.000  0.00

=====

Energies in meV per atom, measured from the most stable structure: A 0; B 155.

=====

A | Here is CsVRe3 after structural relaxation from the Alexandria database. Energies are from GGA-PBE.

Output
ρ ... 11.328 g/cm3
Fermi-level density of states ... 0.798 states/eV/atom
V ... 21.8 Å³ per atom

Cell: 4.774 4.774 4.774 Å, 90.00 90.00 90.00°
Last column: magnetic moment on the atom in μB.
Atoms (fractional coordinates):
1 Cs 0.500 0.500 0.500  0.14
2 Re 0.000 0.500 0.000  1.11
3 Re 0.000 0.000 0.500  1.11
4 Re 0.500 0.000 0.000  1.11
5 V 0.000 0.000 0.000  -0.29

=====

B | Here is CsVRe3 after structural relaxation from the Alexandria database. Energies are from GGA-PBE.

Output
ρ ... 10.779 g/cm3
Fermi-level density of states ... 1.712 states/eV/atom
V ... 22.9 Å³ per atom

Cell: 4.854 4.854 4.854 Å, 90.00 90.00 90.00°
Last column: magnetic moment on the atom in μB.
Atoms (fractional coordinates):
1 Cs 0.000 0.000 0.000  0.02
2 Re 0.000 0.500 0.000  -0.50
3 Re 0.000 0.000 0.500  -0.50
4 Re 0.500 0.000 0.000  -0.50
5 V 0.500 0.500 0.500  2.46

=====

Energies in meV per atom, measured from the most stable structure: A 0; B 1880.

=====

A | Here is Cs2VRe after structural relaxation from the Alexandria database. Energies are from GGA-PBE.

Output
ρ ... 3.950 g/cm3
Fermi-level density of states ... 1.780 states/eV/atom
V ... 52.9 Å³ per atom

Cell: 13.902 13.902 10.071 Å, 46.35 46.35 90.00°
Last column: magnetic moment on the atom in μB.
Atoms (fractional coordinates):
1 Cs 0.434 0.125 0.250  0.01
2 Cs 0.316 0.625 0.250  0.01
3 Cs 0.375 0.566 0.750  0.01
4 Cs 0.875 0.684 0.750  0.01
5 Re 0.000 0.000 0.000  0.20
6 Re 0.750 0.250 0.500  0.20
7 V 0.500 0.500 0.000  0.24
8 V 0.250 0.750 0.500  0.24

=====

B | Here is Cs2VRe after structural relaxation from the Alexandria database. Energies are from GGA-PBE.

Output
ρ ... 8.294 g/cm3
Fermi-level density of states ... 1.773 states/eV/atom
V ... 25.2 Å³ per atom

Cell: 5.222 5.222 5.222 Å, 60.00 60.00 60.00°
Atoms (fractional coordinates):
1 Cs 0.250 0.250 0.250
2 Cs 0.750 0.750 0.750
3 Re 0.500 0.500 0.500
4 V 0.000 0.000 0.000

=====

Energies in meV per atom, measured from the most stable structure: A 0; B 1255.